*A*
Below is K2YAu after structural relaxation, with properties calculated at the PBE level.

V = 37.5 Å³/atom
Magnetic moment = 0.431 μB/cell

a b c (Å): 3.619 3.619 11.455
angles (deg): 90.00 90.00 90.00
Site moments in Bohr magnetons follow the coordinates.
Sites, in units of the cell vectors:
Y (0.500, 0.500, 0.250)  0.21
Au (0.500, 0.500, 0.750)  0.00
K (0.000, 0.000, 0.562)  0.00
K (0.000, 0.000, 0.938)  0.00

*B*
Below is K2YAu after structural relaxation, with properties calculated at the PBE level.

V = 36.1 Å³/atom
Magnetic moment = 0.000 μB/cell

a b c (Å): 6.695 6.695 3.909
angles (deg): 90.00 90.00 124.42
Sites, in units of the cell vectors:
K (0.500, 0.500, 0.000)
K (0.000, 0.000, 0.000)
Y (0.500, 0.000, 0.500)
Au (0.000, 0.500, 0.500)

Computed relative energies in units of eV/atom: *A* 0.000; *B* 0.125

*A*
Below is K2YAu after structural relaxation, with properties calculated at the PBE level.

V = 43.7 Å³/atom
Magnetic moment = 0.000 μB/cell

a b c (Å): 10.749 10.749 4.490
angles (deg): 77.99 77.99 20.18
Sites, in units of the cell vectors:
Au (0.750, 0.750, 0.750)
K (0.095, 0.095, 0.904)
K (0.405, 0.405, 0.596)
Y (0.250, 0.250, 0.250)

*B*
Below is K2YAu after structural relaxation, with properties calculated at the PBE level.

V = 31.5 Å³/atom
Magnetic moment = 0.007 μB/cell

a b c (Å): 5.637 5.637 5.637
angles (deg): 120.43 120.43 89.26
Sites, in units of the cell vectors:
K (0.000, 0.000, 0.000)
K (0.250, 0.750, 0.500)
Y (0.500, 0.500, 0.000)
Au (0.750, 0.250, 0.500)

*C*
Below is K2YAu after structural relaxation, with properties calculated at the PBE level.

V = 38.8 Å³/atom
Magnetic moment = 0.835 μB/cell

a b c (Å): 12.249 12.249 12.249
angles (deg): 18.12 18.12 18.12
Site moments in Bohr magnetons follow the coordinates.
Sites, in units of the cell vectors:
K (0.018, 0.018, 0.018)  0.00
K (0.482, 0.482, 0.482)  0.00
Y (0.250, 0.250, 0.250)  0.32
Au (0.750, 0.750, 0.750)  0.00

Computed relative energies in units of eV/atom: *A* 0.000; *B* 0.428; *C* 0.355

*A*
Below is KYAu after structural relaxation, with properties calculated at the PBE level.

V = 37.8 Å³/atom
Magnetic moment = 0.176 μB/cell

a b c (Å): 4.108 4.108 7.762
angles (deg): 90.00 90.00 120.00
Sites, in units of the cell vectors:
K (0.667, 0.333, 0.278)
Au (0.000, 0.000, 0.960)
Y (0.333, 0.667, 0.762)

*B*
Below is KYAu after structural relaxation, with properties calculated at the PBE level.

V = 32.6 Å³/atom
Magnetic moment = 0.000 μB/cell

a b c (Å): 5.170 5.170 5.170
angles (deg): 60.00 60.00 60.00
Sites, in units of the cell vectors:
Au (0.750, 0.750, 0.750)
Y (0.500, 0.500, 0.500)
K (0.000, 0.000, 0.000)

*C*
Below is KYAu after structural relaxation, with properties calculated at the PBE level.

V = 34.1 Å³/atom
Magnetic moment = 0.000 μB/cell

a b c (Å): 7.739 7.739 3.750
angles (deg): 75.98 75.98 28.04
Sites, in units of the cell vectors:
Y (0.385, 0.385, 0.615)
Au (0.972, 0.972, 0.028)
K (0.643, 0.643, 0.357)

Computed relative energies in units of eV/atom: *A* 0.115; *B* 0.298; *C* 0.000

*A*
Below is K3YAu after structural relaxation, with properties calculated at the PBE level.

V = 77.4 Å³/atom
Magnetic moment = 3.000 μB/cell

a b c (Å): 7.289 7.289 7.289
angles (deg): 90.00 90.00 90.00
Site moments in Bohr magnetons follow the coordinates.
Sites, in units of the cell vectors:
Y (0.000, 0.000, 0.000)  0.93
K (0.500, 0.000, 0.000)  0.04
K (0.000, 0.500, 0.000)  0.04
K (0.000, 0.000, 0.500)  0.04
Au (0.500, 0.500, 0.500)  0.00

*B*
Below is K3YAu after structural relaxation, with properties calculated at the PBE level.

V = 50.9 Å³/atom
Magnetic moment = 1.368 μB/cell

a b c (Å): 6.339 6.339 6.339
angles (deg): 90.00 90.00 90.00
Site moments in Bohr magnetons follow the coordinates.
Sites, in units of the cell vectors:
K (0.500, 0.000, 0.000)  0.01
K (0.000, 0.500, 0.000)  0.01
K (0.000, 0.000, 0.500)  0.01
Y (0.500, 0.500, 0.500)  0.45
Au (0.000, 0.000, 0.000)  0.02

Computed relative energies in units of eV/atom: *A* 0.566; *B* 0.000

*A*
Below is KZn2Au after structural relaxation, with properties calculated at the PBE level.

V = 23.9 Å³/atom
Magnetic moment = 0.000 μB/cell

a b c (Å): 4.496 4.499 4.716
angles (deg): 90.00 90.00 90.00
Sites, in units of the cell vectors:
Zn (0.500, 0.500, 0.000)
Zn (0.000, 0.000, 0.000)
K (0.000, 0.500, 0.500)
Au (0.500, 0.000, 0.500)

*B*
Below is KZn2Au after structural relaxation, with properties calculated at the PBE level.

V = 22.4 Å³/atom
Magnetic moment = 0.000 μB/cell

a b c (Å): 5.693 6.371 2.833
angles (deg): 79.04 85.87 115.52
Sites, in units of the cell vectors:
Zn (0.500, 0.000, 0.500)
Zn (0.000, 0.000, 0.000)
K (0.500, 0.500, 0.000)
Au (0.000, 0.500, 0.500)

*C*
Below is KZn2Au after structural relaxation, with properties calculated at the PBE level.

V = 27.2 Å³/atom
Magnetic moment = 0.000 μB/cell

a b c (Å): 4.535 4.535 6.660
angles (deg): 69.75 69.75 60.06
Sites, in units of the cell vectors:
Zn (0.759, 0.759, 0.724)
Zn (0.069, 0.069, 0.794)
K (0.246, 0.246, 0.262)
Au (0.427, 0.427, 0.721)

*D*
Below is KZn2Au after structural relaxation, with properties calculated at the PBE level.

V = 22.5 Å³/atom
Magnetic moment = 0.000 μB/cell

a b c (Å): 3.000 3.845 7.812
angles (deg): 90.00 90.00 90.00
Sites, in units of the cell vectors:
K (0.500, 0.500, 0.742)
Zn (0.000, 0.000, 0.068)
Zn (0.500, 0.500, 0.266)
Au (0.000, 0.000, 0.424)

Computed relative energies in units of eV/atom: *A* 0.377; *B* 0.411; *C* 0.000; *D* 0.197

*A*
Below is KZn2Au after structural relaxation, with properties calculated at the PBE level.

V = 22.5 Å³/atom
Magnetic moment = 0.000 μB/cell

a b c (Å): 3.015 3.943 7.564
angles (deg): 90.00 90.00 90.00
Sites, in units of the cell vectors:
Zn (0.000, 0.000, 0.429)
Zn (0.000, 0.000, 0.071)
Au (0.500, 0.500, 0.250)
K (0.500, 0.500, 0.750)

*B*
Below is KZn2Au after structural relaxation, with properties calculated at the PBE level.

V = 25.8 Å³/atom
Magnetic moment = 0.000 μB/cell

a b c (Å): 4.312 3.532 6.858
angles (deg): 81.62 90.00 90.00
Sites, in units of the cell vectors:
Zn (0.000, 0.949, 0.139)
Zn (0.500, 0.405, 0.203)
K (0.500, 0.781, 0.723)
Au (0.000, 0.364, 0.434)

*C*
Below is KZn2Au after structural relaxation, with properties calculated at the PBE level.

V = 26.9 Å³/atom
Magnetic moment = 0.000 μB/cell

a b c (Å): 4.511 7.431 6.415
angles (deg): 90.00 90.00 90.00
Sites, in units of the cell vectors:
Zn (0.500, 0.680, 0.074)
Zn (0.500, 0.320, 0.074)
Zn (0.000, 0.820, 0.926)
Zn (0.000, 0.180, 0.926)
Au (0.500, 0.000, 0.897)
Au (0.000, 0.500, 0.103)
K (0.000, 0.000, 0.419)
K (0.500, 0.500, 0.581)

Computed relative energies in units of eV/atom: *A* 0.197; *B* 0.177; *C* 0.000

*A*
Below is K2ZnAu after structural relaxation, with properties calculated at the PBE level.

V = 32.1 Å³/atom
Magnetic moment = 0.000 μB/cell

a b c (Å): 6.067 6.583 6.583
angles (deg): 102.08 90.00 90.00
Sites, in units of the cell vectors:
K (0.750, 0.969, 0.318)
K (0.250, 0.682, 0.031)
K (0.250, 0.031, 0.682)
K (0.750, 0.318, 0.969)
Au (0.750, 0.759, 0.759)
Au (0.250, 0.241, 0.241)
Zn (0.000, 0.500, 0.500)
Zn (0.500, 0.500, 0.500)

*B*
Below is K2ZnAu after structural relaxation, with properties calculated at the PBE level.

V = 33.8 Å³/atom
Magnetic moment = 0.000 μB/cell

a b c (Å): 4.094 4.062 9.087
angles (deg): 63.57 90.00 90.00
Sites, in units of the cell vectors:
Zn (0.500, 0.250, 0.250)
K (0.000, 0.019, 0.980)
K (0.000, 0.481, 0.520)
Au (0.500, 0.750, 0.750)

*C*
Below is K2ZnAu after structural relaxation, with properties calculated at the PBE level.

V = 34.6 Å³/atom
Magnetic moment = 0.000 μB/cell

a b c (Å): 3.739 3.744 9.892
angles (deg): 90.00 90.00 90.00
Sites, in units of the cell vectors:
K (0.500, 0.500, 0.335)
K (0.000, 0.000, 0.911)
Au (0.500, 0.500, 0.663)
Zn (0.000, 0.000, 0.591)

Computed relative energies in units of eV/atom: *A* 0.000; *B* 0.125; *C* 0.098

*A*
Below is KZn3Au after structural relaxation, with properties calculated at the PBE level.

V = 22.4 Å³/atom
Magnetic moment = 0.000 μB/cell

a b c (Å): 6.343 6.343 6.279
angles (deg): 90.00 90.00 117.51
Sites, in units of the cell vectors:
Zn (0.278, 0.278, 0.000)
Zn (0.722, 0.722, 0.000)
Zn (0.893, 0.107, 0.250)
Zn (0.722, 0.722, 0.500)
Zn (0.107, 0.893, 0.750)
Zn (0.278, 0.278, 0.500)
K (0.763, 0.237, 0.750)
K (0.237, 0.763, 0.250)
Au (0.351, 0.649, 0.750)
Au (0.649, 0.351, 0.250)

*B*
Below is KZn3Au after structural relaxation, with properties calculated at the PBE level.

V = 24.1 Å³/atom
Magnetic moment = 0.000 μB/cell

a b c (Å): 6.755 8.477 9.043
angles (deg): 111.21 90.00 90.00
Sites, in units of the cell vectors:
Au (0.291, 0.915, 0.097)
Au (0.709, 0.085, 0.903)
Au (0.791, 0.085, 0.403)
Au (0.209, 0.915, 0.597)
Zn (0.494, 0.648, 0.089)
Zn (0.309, 0.082, 0.901)
Zn (0.809, 0.918, 0.599)
Zn (0.691, 0.918, 0.099)
Zn (0.506, 0.352, 0.911)
Zn (0.191, 0.082, 0.401)
Zn (0.505, 0.145, 0.628)
Zn (0.005, 0.855, 0.872)
Zn (0.995, 0.145, 0.128)
Zn (0.495, 0.855, 0.372)
Zn (0.994, 0.352, 0.411)
Zn (0.006, 0.648, 0.589)
K (0.006, 0.351, 0.785)
K (0.494, 0.351, 0.285)
K (0.994, 0.649, 0.215)
K (0.506, 0.649, 0.715)

Computed relative energies in units of eV/atom: *A* 0.000; *B* 0.012

*A*
Below is KZn3Au after structural relaxation, with properties calculated at the PBE level.

V = 48.4 Å³/atom
Magnetic moment = 0.000 μB/cell

a b c (Å): 6.230 6.230 6.230
angles (deg): 90.00 90.00 90.00
Sites, in units of the cell vectors:
Zn (0.500, 0.000, 0.000)
Zn (0.000, 0.000, 0.500)
Zn (0.000, 0.500, 0.000)
K (0.000, 0.000, 0.000)
Au (0.500, 0.500, 0.500)

*B*
Below is KZn3Au after structural relaxation, with properties calculated at the PBE level.

V = 25.4 Å³/atom
Magnetic moment = 0.000 μB/cell

a b c (Å): 5.025 5.025 5.025
angles (deg): 90.00 90.00 90.00
Sites, in units of the cell vectors:
Au (0.000, 0.000, 0.000)
Zn (0.000, 0.000, 0.500)
Zn (0.000, 0.500, 0.000)
Zn (0.500, 0.000, 0.000)
K (0.500, 0.500, 0.500)

Computed relative energies in units of eV/atom: *A* 0.940; *B* 0.000

*A*
Below is K3Zn3Au2 after structural relaxation, with properties calculated at the PBE level.

V = 29.8 Å³/atom
Magnetic moment = 0.000 μB/cell

a b c (Å): 4.550 6.592 16.917
angles (deg): 90.00 90.00 110.19
Sites, in units of the cell vectors:
Zn (0.304, 0.608, 0.961)
Zn (0.659, 0.318, 0.750)
Zn (0.696, 0.392, 0.461)
Zn (0.696, 0.392, 0.039)
Zn (0.304, 0.608, 0.539)
Zn (0.341, 0.682, 0.250)
K (0.957, 0.915, 0.394)
K (0.957, 0.915, 0.106)
K (0.643, 0.285, 0.250)
K (0.043, 0.085, 0.606)
K (0.043, 0.085, 0.894)
K (0.357, 0.715, 0.750)
Au (0.756, 0.512, 0.888)
Au (0.244, 0.488, 0.388)
Au (0.244, 0.488, 0.112)
Au (0.756, 0.512, 0.612)

*B*
Below is K3Zn3Au2 after structural relaxation, with properties calculated at the PBE level.

V = 28.5 Å³/atom
Magnetic moment = 0.000 μB/cell

a b c (Å): 6.447 8.865 15.955
angles (deg): 90.00 90.00 90.00
Sites, in units of the cell vectors:
Au (0.621, 0.622, 0.097)
Au (0.879, 0.122, 0.403)
Au (0.121, 0.878, 0.597)
Au (0.379, 0.378, 0.903)
Au (0.121, 0.878, 0.903)
Au (0.621, 0.622, 0.403)
Au (0.879, 0.122, 0.097)
Au (0.379, 0.378, 0.597)
Zn (0.618, 0.334, 0.039)
Zn (0.534, 0.343, 0.750)
Zn (0.118, 0.166, 0.539)
Zn (0.618, 0.334, 0.461)
Zn (0.382, 0.666, 0.961)
Zn (0.882, 0.834, 0.461)
Zn (0.118, 0.166, 0.961)
Zn (0.382, 0.666, 0.539)
Zn (0.034, 0.157, 0.250)
Zn (0.466, 0.657, 0.250)
Zn (0.882, 0.834, 0.039)
Zn (0.966, 0.843, 0.750)
K (0.882, 0.537, 0.893)
K (0.882, 0.537, 0.607)
K (0.420, 0.697, 0.750)
K (0.580, 0.303, 0.250)
K (0.382, 0.963, 0.107)
K (0.382, 0.963, 0.393)
K (0.618, 0.037, 0.607)
K (0.080, 0.197, 0.750)
K (0.920, 0.803, 0.250)
K (0.118, 0.463, 0.393)
K (0.618, 0.037, 0.893)
K (0.118, 0.463, 0.107)

Computed relative energies in units of eV/atom: *A* 0.000; *B* 0.012